No. 1
CuTe6Br2: optimized geometry, PBE-GGA.

Space-group type = No. 2
Energy = -2.928 eV/atom
Crystal system = triclinic

a = 4.5192 Å, b = 8.5708 Å, c = 8.7302 Å
α = 67.31°, β = 88.40°, γ = 80.17°
Sites, in units of the cell vectors:
Te: 0.1760 0.7251 0.2799
Te: 0.7992 0.8022 0.5112
Te: 0.0799 0.5210 0.7843
Te: 0.8240 0.2749 0.7201
Te: 0.9202 0.4790 0.2157
Te: 0.2008 0.1978 0.4888
Cu: 0.0000 0.0000 0.0000
Br: 0.6063 0.1349 0.1315
Br: 0.3937 0.8651 0.8685

No. 2
TlCuBr3: optimized geometry, PBE-GGA.

Space-group type = No. 14
Energy = -2.717 eV/atom
Crystal system = monoclinic

a = 4.2810 Å, b = 14.6939 Å, c = 9.4754 Å
α = 90.00°, β = 97.97°, γ = 90.00°
Sites, in units of the cell vectors:
Br: 0.2429 0.3011 0.7359
Br: 0.8208 0.5126 0.6758
Br: 0.6822 0.4023 0.0319
Br: 0.7571 0.8011 0.7641
Br: 0.1792 0.4874 0.3242
Br: 0.1792 0.0126 0.8242
Br: 0.8208 0.9874 0.1758
Br: 0.6822 0.0977 0.5319
Br: 0.3178 0.5977 0.9681
Br: 0.7571 0.6989 0.2641
Br: 0.2429 0.1989 0.2359
Br: 0.3178 0.9023 0.4681
Tl: 0.2702 0.8306 0.0493
Tl: 0.7298 0.3306 0.4507
Tl: 0.2702 0.6694 0.5493
Tl: 0.7298 0.1694 0.9507
Cu: 0.2581 0.4507 0.8398
Cu: 0.7419 0.9507 0.6602
Cu: 0.7419 0.5493 0.1602
Cu: 0.2581 0.0493 0.3398

No. 3
Dy2Br: optimized geometry, PBE-GGA.

Space-group type = No. 227
Energy = -3.454 eV/atom
Crystal system = cubic

a = 6.5521 Å, b = 6.5521 Å, c = 6.5521 Å
α = 60.00°, β = 60.00°, γ = 60.00°
Sites, in units of the cell vectors:
Br: 0.0000 0.0000 0.0000
Br: 0.2500 0.2500 0.2500
Dy: 0.6250 0.1250 0.6250
Dy: 0.1250 0.6250 0.6250
Dy: 0.6250 0.6250 0.1250
Dy: 0.6250 0.6250 0.6250

No. 4
DyBr: optimized geometry, PBE-GGA.

Space-group type = No. 187
Energy = -4.173 eV/atom
Crystal system = hexagonal

a = 3.5821 Å, b = 3.5821 Å, c = 4.5240 Å
α = 90.00°, β = 90.00°, γ = 120.00°
Sites, in units of the cell vectors:
Br: 0.6667 0.3333 0.7500
Dy: 0.3333 0.6667 0.2500